Compound: Tl10Hg3Pb3
Source: the Alexandria database
Functional: PBE
Structure: relaxed

Lattice parameters (Å, degrees): 6.410 9.550 9.550 120.00 90.00 90.00
Sites, in units of the cell vectors:
Tl  0.753  0.333  0.667
Tl  0.000  0.263  0.000
Tl  0.247  0.667  0.333
Tl  0.500  0.000  0.766
Pb  0.500  0.404  0.000
Hg  0.000  0.617  0.000
Hg  0.000  0.383  0.383
Tl  0.500  0.234  0.234
Hg  0.000  0.000  0.617
Tl  0.000  0.000  0.263
Pb  0.500  0.596  0.596
Tl  0.500  0.766  0.000
Pb  0.500  0.000  0.404
Tl  0.000  0.737  0.737
Tl  0.247  0.333  0.667
Tl  0.753  0.667  0.333

## Properties
The calculated formation energy is 0.035 eV per atom. The calculation puts the total magnetization at 0.00 μB per atom.